Computed, not measured: a relaxed ZrMo crystal at the GGA-PBE level of DFT.

The structure in POSCAR format:
```
ZrMo
1.0
-4.165 -3.362 -1.323
-3.328 -1.726 -4.043
2.416 -6.055 -2.899
Zr Mo
3 3
Direct
0.168 0.168 0.193
0.500 0.500 0.000
0.832 0.832 0.807
0.165 0.165 0.638
0.500 0.500 0.500
0.835 0.835 0.362
```

Output
- Space-group type: No. 12
- Spin magnetization: 0.000 Bohr magnetons per cell
- Fermi-level density of states: 7.31 states/eV per cell
- E_form: 0.06 eV/f.u.
- Polymorph energy (0 for the lowest one): 73 meV per atom